1.
# Ho2RuI, optimized geometry, DFT PBE
data_Ho2RuI
_cell_length_a 4.0341
_cell_length_b 4.0341
_cell_length_c 23.6930
_cell_angle_alpha 90.00
_cell_angle_beta 90.00
_cell_angle_gamma 120.00
_symmetry_space_group_name_H-M 'R -3 m'
_symmetry_Int_Tables_number 166
_symmetry_space_group_name_Hall '-R 3 2"'
loop_
_atom_site_label
_atom_site_type_symbol
_atom_site_fract_x
_atom_site_fract_y
_atom_site_fract_z
Ho1 Ho 0.0000 0.0000 0.2272
Ru1 Ru 0.0000 0.0000 0.5000
I1 I 0.0000 0.0000 0.0000
# Calculated density = 8.322 g/cm3
# Raw formation energy = -606 meV/atom
# Polymorph energy (0 for the lowest one) = 0.00 eV per formula unit

***

2.
# Ho2SI2, optimized geometry, DFT PBE
data_Ho2SI2
_cell_length_a 7.035
_cell_length_b 4.061
_cell_length_c 11.894
_cell_angle_alpha 90.00
_cell_angle_beta 102.79
_cell_angle_gamma 90.00
_symmetry_space_group_name_H-M 'C 1 2/m 1'
_symmetry_Int_Tables_number 12
loop_
_symmetry_equiv_pos_as_xyz
'x,y,z'
'-x,-y,-z'
'-x,y,-z'
'x,-y,z'
'x+1/2,y+1/2,z'
'-x+1/2,-y+1/2,-z'
'-x+1/2,y+1/2,-z'
'x+1/2,-y+1/2,z'
loop_
_atom_site_label
_atom_site_type_symbol
_atom_site_fract_x
_atom_site_fract_y
_atom_site_fract_z
Ho1 Ho 0.211 0.000 0.119
S1 S 0.000 0.500 0.000
I1 I 0.056 0.000 0.705
# Calculated density = 6.171 g/cm3
# Raw formation energy = -1592 meV/atom

***

3.
# Ho3SI3, optimized geometry, DFT PBE
data_Ho3SI3
_cell_length_a 6.9755
_cell_length_b 6.9755
_cell_length_c 33.4470
_cell_angle_alpha 90.00
_cell_angle_beta 90.00
_cell_angle_gamma 120.00
_symmetry_space_group_name_H-M 'R -3'
_symmetry_Int_Tables_number 148
_symmetry_space_group_name_Hall '-R 3'
loop_
_atom_site_label
_atom_site_type_symbol
_atom_site_fract_x
_atom_site_fract_y
_atom_site_fract_z
Ho1 Ho 0.0000 0.3385 0.4580
S1 S 0.0000 0.0000 0.1667
I1 I 0.0001 0.3334 0.2699
# Calculated density = 6.416 g/cm3
# Raw formation energy = -1364 meV/atom

***

4.
# Ho2S2I, optimized geometry, DFT PBE
data_Ho2S2I
_cell_length_a 4.197
_cell_length_b 5.376
_cell_length_c 13.011
_cell_angle_alpha 90.00
_cell_angle_beta 90.00
_cell_angle_gamma 90.00
_symmetry_space_group_name_H-M 'I m m m'
_symmetry_Int_Tables_number 71
_symmetry_space_group_name_Hall '-I 2 2'
loop_
_atom_site_label
_atom_site_type_symbol
_atom_site_fract_x
_atom_site_fract_y
_atom_site_fract_z
Ho1 Ho 0.000 0.000 0.191
S1 S 0.000 0.500 0.183
I1 I 0.000 0.500 0.500
# Calculated density = 5.893 g/cm3
# Raw formation energy = -1745 meV/atom

***

5.
# Ho2SbI3, optimized geometry, DFT PBE
data_Ho2SbI3
_cell_length_a 18.939
_cell_length_b 4.492
_cell_length_c 13.788
_cell_angle_alpha 90.00
_cell_angle_beta 126.11
_cell_angle_gamma 90.00
_symmetry_space_group_name_H-M 'C 1 2/m 1'
_symmetry_Int_Tables_number 12
loop_
_symmetry_equiv_pos_as_xyz
'x,y,z'
'-x,-y,-z'
'-x,y,-z'
'x,-y,z'
'x+1/2,y+1/2,z'
'-x+1/2,-y+1/2,-z'
'-x+1/2,y+1/2,-z'
'x+1/2,-y+1/2,z'
loop_
_atom_site_label
_atom_site_type_symbol
_atom_site_fract_x
_atom_site_fract_y
_atom_site_fract_z
Ho1 Ho 0.104 0.000 0.449
Ho2 Ho 0.134 0.500 0.828
Sb1 Sb 0.092 0.000 0.661
I1 I 0.054 0.500 0.250
I2 I 0.164 0.000 0.020
I3 I 0.238 0.500 0.606
# Calculated density = 5.834 g/cm3
# Raw formation energy = -1128 meV/atom

***

6.
# Ho3SbI7, optimized geometry, DFT PBE
data_Ho3SbI7
_cell_length_a 8.8888
_cell_length_b 8.8888
_cell_length_c 7.1146
_cell_angle_alpha 90.00
_cell_angle_beta 90.00
_cell_angle_gamma 120.00
_symmetry_space_group_name_H-M 'P 3 m 1'
_symmetry_Int_Tables_number 156
loop_
_symmetry_equiv_pos_as_xyz
'x,y,z'
'-y,x-y,z'
'-x+y,-x,z'
'-y,-x,z'
'-x+y,y,z'
'x,x-y,z'
loop_
_atom_site_label
_atom_site_type_symbol
_atom_site_fract_x
_atom_site_fract_y
_atom_site_fract_z
Ho1 Ho 0.0049 0.5025 0.0000
Sb1 Sb 0.3333 0.6667 0.2291
I1 I 0.1740 0.3480 0.7500
I2 I 0.3420 0.1710 0.2285
I3 I 0.6667 0.3333 0.7431
# Calculated density = 5.133 g/cm3
# Raw formation energy = -1160 meV/atom

***

7.
# HoSbI, optimized geometry, DFT PBE
data_HoSbI
_cell_length_a 7.717
_cell_length_b 8.277
_cell_length_c 5.987
_cell_angle_alpha 90.00
_cell_angle_beta 90.00
_cell_angle_gamma 90.00
_symmetry_space_group_name_H-M 'P b c m'
_symmetry_Int_Tables_number 57
loop_
_symmetry_equiv_pos_as_xyz
'x,y,z'
'-x,-y,-z'
'-x,-y,z+1/2'
'x,y,-z+1/2'
'x,-y+1/2,-z'
'-x,y+1/2,z'
'-x,y+1/2,-z+1/2'
'x,-y+1/2,z+1/2'
loop_
_atom_site_label
_atom_site_type_symbol
_atom_site_fract_x
_atom_site_fract_y
_atom_site_fract_z
Ho1 Ho 0.216 0.054 0.250
Sb1 Sb 0.078 0.750 0.000
I1 I 0.394 0.099 0.750
# Calculated density = 7.183 g/cm3
# Raw formation energy = -995 meV/atom

***

8.
# HoSc2I6, optimized geometry, DFT PBE
data_HoSc2I6
_cell_length_a 16.852
_cell_length_b 4.067
_cell_length_c 11.220
_cell_angle_alpha 90.00
_cell_angle_beta 116.03
_cell_angle_gamma 90.00
_symmetry_space_group_name_H-M 'C 1 2/m 1'
_symmetry_Int_Tables_number 12
loop_
_symmetry_equiv_pos_as_xyz
'x,y,z'
'-x,-y,-z'
'-x,y,-z'
'x,-y,z'
'x+1/2,y+1/2,z'
'-x+1/2,-y+1/2,-z'
'-x+1/2,y+1/2,-z'
'x+1/2,-y+1/2,z'
loop_
_atom_site_label
_atom_site_type_symbol
_atom_site_fract_x
_atom_site_fract_y
_atom_site_fract_z
Ho1 Ho 0.000 0.000 0.000
Sc1 Sc 0.178 0.500 0.353
I1 I 0.034 0.000 0.289
I2 I 0.148 0.500 0.061
I3 I 0.189 0.500 0.618
# Calculated density = 4.885 g/cm3
# Raw formation energy = -1131 meV/atom

***

9.
# HoSc2I, optimized geometry, DFT PBE
data_HoSc2I
_cell_length_a 3.5984
_cell_length_b 3.5984
_cell_length_c 29.5828
_cell_angle_alpha 90.00
_cell_angle_beta 90.00
_cell_angle_gamma 120.00
_symmetry_space_group_name_H-M 'R -3 m'
_symmetry_Int_Tables_number 166
_symmetry_space_group_name_Hall '-R 3 2"'
loop_
_atom_site_label
_atom_site_type_symbol
_atom_site_fract_x
_atom_site_fract_y
_atom_site_fract_z
Ho1 Ho 0.0000 0.0000 0.0000
Sc1 Sc 0.0000 0.0000 0.2450
I1 I 0.0000 0.0000 0.5000
# Calculated density = 5.733 g/cm3
# Raw formation energy = -221 meV/atom

***

10.
# HoScI, optimized geometry, DFT PBE
data_HoScI
_cell_length_a 3.7300
_cell_length_b 3.7300
_cell_length_c 7.2071
_cell_angle_alpha 90.00
_cell_angle_beta 90.00
_cell_angle_gamma 120.00
_symmetry_space_group_name_H-M 'P 3 m 1'
_symmetry_Int_Tables_number 156
loop_
_symmetry_equiv_pos_as_xyz
'x,y,z'
'-y,x-y,z'
'-x+y,-x,z'
'-y,-x,z'
'-x+y,y,z'
'x,x-y,z'
loop_
_atom_site_label
_atom_site_type_symbol
_atom_site_fract_x
_atom_site_fract_y
_atom_site_fract_z
Ho1 Ho 0.0000 0.0000 0.0000
Sc1 Sc 0.3333 0.6667 0.6583
I1 I 0.6667 0.3333 0.3434
# Calculated density = 6.440 g/cm3
# Raw formation energy = -427 meV/atom

***

11.
# Ho6Se8I, optimized geometry, DFT PBE
data_Ho6Se8I
_cell_length_a 11.1843
_cell_length_b 11.1843
_cell_length_c 4.1573
_cell_angle_alpha 90.00
_cell_angle_beta 90.00
_cell_angle_gamma 120.00
_symmetry_space_group_name_H-M 'P -3'
_symmetry_Int_Tables_number 147
loop_
_symmetry_equiv_pos_as_xyz
'x,y,z'
'-x,-y,-z'
'-y,x-y,z'
'y,-x+y,-z'
'-x+y,-x,z'
'x-y,x,-z'
loop_
_atom_site_label
_atom_site_type_symbol
_atom_site_fract_x
_atom_site_fract_y
_atom_site_fract_z
Ho1 Ho 0.1390 0.4713 0.2471
Se1 Se 0.0478 0.6691 0.2539
Se2 Se 0.3333 0.6667 0.7485
I1 I 0.0000 0.0000 0.0000
# Calculated density = 6.446 g/cm3
# Raw formation energy = -1689 meV/atom

***

12.
# Ho4Se4I3, optimized geometry, DFT PBE
data_Ho4Se4I3
_cell_length_a 4.274
_cell_length_b 8.372
_cell_length_c 16.767
_cell_angle_alpha 90.00
_cell_angle_beta 90.00
_cell_angle_gamma 90.00
_symmetry_space_group_name_H-M 'I m m m'
_symmetry_Int_Tables_number 71
_symmetry_space_group_name_Hall '-I 2 2'
loop_
_atom_site_label
_atom_site_type_symbol
_atom_site_fract_x
_atom_site_fract_y
_atom_site_fract_z
Ho1 Ho 0.000 0.000 0.229
Ho2 Ho 0.000 0.214 0.500
Se1 Se 0.000 0.296 0.332
I1 I 0.000 0.000 0.000
I2 I 0.000 0.500 0.098
# Calculated density = 7.507 g/cm3
# Raw formation energy = -1411 meV/atom

***

13.
# Ho2SeI2, optimized geometry, DFT PBE
data_Ho2SeI2
_cell_length_a 7.226
_cell_length_b 4.169
_cell_length_c 11.926
_cell_angle_alpha 90.00
_cell_angle_beta 103.00
_cell_angle_gamma 90.00
_symmetry_space_group_name_H-M 'C 1 2/m 1'
_symmetry_Int_Tables_number 12
loop_
_symmetry_equiv_pos_as_xyz
'x,y,z'
'-x,-y,-z'
'-x,y,-z'
'x,-y,z'
'x+1/2,y+1/2,z'
'-x+1/2,-y+1/2,-z'
'-x+1/2,y+1/2,-z'
'x+1/2,-y+1/2,z'
loop_
_atom_site_label
_atom_site_type_symbol
_atom_site_fract_x
_atom_site_fract_y
_atom_site_fract_z
Ho1 Ho 0.213 0.000 0.126
Se1 Se 0.000 0.500 0.000
I1 I 0.056 0.000 0.702
# Calculated density = 6.286 g/cm3
# Raw formation energy = -1482 meV/atom

***

14.
# Ho2SeI, optimized geometry, DFT PBE
data_Ho2SeI
_cell_length_a 3.9517
_cell_length_b 3.9517
_cell_length_c 24.0502
_cell_angle_alpha 90.00
_cell_angle_beta 90.00
_cell_angle_gamma 120.00
_symmetry_space_group_name_H-M 'R -3 m'
_symmetry_Int_Tables_number 166
_symmetry_space_group_name_Hall '-R 3 2"'
loop_
_atom_site_label
_atom_site_type_symbol
_atom_site_fract_x
_atom_site_fract_y
_atom_site_fract_z
Ho1 Ho 0.0000 0.0000 0.2326
Se1 Se 0.0000 0.0000 0.5000
I1 I 0.0000 0.0000 0.0000
# Calculated density = 8.205 g/cm3
# Raw formation energy = -1140 meV/atom
# Polymorph energy (0 for the lowest one) = 0.11 eV per formula unit

***

15.
# Ho2SeI, optimized geometry, DFT PBE
data_Ho2SeI
_cell_length_a 3.989
_cell_length_b 7.123
_cell_length_c 9.070
_cell_angle_alpha 90.17
_cell_angle_beta 90.32
_cell_angle_gamma 90.01
_symmetry_space_group_name_H-M 'P 1'
_symmetry_Int_Tables_number 1
loop_
_symmetry_equiv_pos_as_xyz
'x,y,z'
loop_
_atom_site_label
_atom_site_type_symbol
_atom_site_fract_x
_atom_site_fract_y
_atom_site_fract_z
Ho1 Ho 0.000 0.000 0.000
Ho2 Ho 0.001 0.192 0.417
Ho3 Ho 0.502 0.696 0.251
Ho4 Ho 0.503 0.499 0.669
Se1 Se 0.004 0.247 0.742
Se2 Se 0.499 0.748 0.927
I1 I 0.000 0.395 0.132
I2 I 0.502 0.893 0.538
# Calculated density = 6.903 g/cm3
# Raw formation energy = -958 meV/atom
# Polymorph energy (0 for the lowest one) = 0.83 eV per formula unit

***

16.
# Ho2Se2I, optimized geometry, DFT PBE
data_Ho2Se2I
_cell_length_a 4.214
_cell_length_b 5.609
_cell_length_c 13.052
_cell_angle_alpha 90.00
_cell_angle_beta 90.00
_cell_angle_gamma 90.00
_symmetry_space_group_name_H-M 'I m m m'
_symmetry_Int_Tables_number 71
_symmetry_space_group_name_Hall '-I 2 2'
loop_
_atom_site_label
_atom_site_type_symbol
_atom_site_fract_x
_atom_site_fract_y
_atom_site_fract_z
Ho1 Ho 0.000 0.000 0.188
Se1 Se 0.000 0.500 0.171
I1 I 0.000 0.500 0.500
# Calculated density = 6.618 g/cm3
# Raw formation energy = -1600 meV/atom

***

17.
# Ho4Se5I, optimized geometry, DFT PBE
data_Ho4Se5I
_cell_length_a 8.464
_cell_length_b 10.666
_cell_length_c 6.997
_cell_angle_alpha 90.00
_cell_angle_beta 90.00
_cell_angle_gamma 90.00
_symmetry_space_group_name_H-M 'P m m n'
_symmetry_Int_Tables_number 59
loop_
_symmetry_equiv_pos_as_xyz
'x,y,z'
'-x,-y,-z'
'-x+1/2,-y+1/2,z'
'x+1/2,y+1/2,-z'
'x+1/2,-y,-z'
'-x+1/2,y,z'
'-x,y+1/2,-z'
'x,-y+1/2,z'
loop_
_atom_site_label
_atom_site_type_symbol
_atom_site_fract_x
_atom_site_fract_y
_atom_site_fract_z
Ho1 Ho 0.034 0.250 0.004
Ho2 Ho 0.250 0.022 0.502
Se1 Se 0.009 0.558 0.248
Se2 Se 0.250 0.250 0.310
I1 I 0.250 0.750 0.705
# Calculated density = 6.211 g/cm3
# Raw formation energy = -1535 meV/atom

***

18.
# Ho2SeI, optimized geometry, DFT PBE
data_Ho2SeI
_cell_length_a 3.8875
_cell_length_b 3.8875
_cell_length_c 24.2464
_cell_angle_alpha 90.00
_cell_angle_beta 90.00
_cell_angle_gamma 120.00
_symmetry_space_group_name_H-M 'R 3 m'
_symmetry_Int_Tables_number 160
_symmetry_space_group_name_Hall 'R 3 -2"'
loop_
_atom_site_label
_atom_site_type_symbol
_atom_site_fract_x
_atom_site_fract_y
_atom_site_fract_z
Ho1 Ho 0.0000 0.0000 0.0000
Ho2 Ho 0.0000 0.0000 0.1908
Se1 Se 0.0000 0.0000 0.5959
I1 I 0.0000 0.0000 0.7632
# Calculated density = 8.410 g/cm3
# Raw formation energy = -1166 meV/atom
# Polymorph energy (0 for the lowest one) = 0.00 eV per formula unit

***

19.
# Ho3Se3I, optimized geometry, DFT PBE
data_Ho3Se3I
_cell_length_a 8.0634
_cell_length_b 8.0634
_cell_length_c 24.4216
_cell_angle_alpha 90.00
_cell_angle_beta 90.00
_cell_angle_gamma 120.00
_symmetry_space_group_name_H-M 'R -3'
_symmetry_Int_Tables_number 148
_symmetry_space_group_name_Hall '-R 3'
loop_
_atom_site_label
_atom_site_type_symbol
_atom_site_fract_x
_atom_site_fract_y
_atom_site_fract_z
Ho1 Ho 0.0352 0.4067 0.2681
Se1 Se 0.0236 0.2839 0.7167
I1 I 0.0000 0.0000 0.1467
# Calculated density = 6.221 g/cm3
# Raw formation energy = -1370 meV/atom

***

20.
# Ho2SeI2, optimized geometry, DFT PBE
data_Ho2SeI2
_cell_length_a 13.885
_cell_length_b 6.098
_cell_length_c 8.636
_cell_angle_alpha 90.00
_cell_angle_beta 116.10
_cell_angle_gamma 90.00
_symmetry_space_group_name_H-M 'C 1 2/m 1'
_symmetry_Int_Tables_number 12
loop_
_symmetry_equiv_pos_as_xyz
'x,y,z'
'-x,-y,-z'
'-x,y,-z'
'x,-y,z'
'x+1/2,y+1/2,z'
'-x+1/2,-y+1/2,-z'
'-x+1/2,y+1/2,-z'
'x+1/2,-y+1/2,z'
loop_
_atom_site_label
_atom_site_type_symbol
_atom_site_fract_x
_atom_site_fract_y
_atom_site_fract_z
Ho1 Ho 0.017 0.000 0.229
Ho2 Ho 0.199 0.500 0.583
Se1 Se 0.155 0.000 0.084
I1 I 0.024 0.500 0.750
I2 I 0.172 0.000 0.633
# Calculated density = 6.702 g/cm3
# Raw formation energy = -1137 meV/atom